1.
This record from Alexandria via LeMat-Bulk describes an optimized crystal structure of Nb2CrIn. The functional is PBE.

## Properties
Space group   P4/mmm (123)
Energy relative to the elements   0.097 eV per atom
Calculated density   8.33 Mg/m³
M_tot   0.0000 μB/atom
Total DFT energy (no corrections)   -32.113 eV for the cell shown

Cell lengths 3.1464, 3.1464, 7.1012 Å; angles 90.00, 90.00, 90.00 degrees
Element x y z (fractional)
Nb: 0.0000 0.0000 0.2054
Nb: 0.0000 0.0000 0.7946
Cr: 0.5000 0.5000 0.0000
In: 0.5000 0.5000 0.5000


2.
This record from Alexandria via LeMat-Bulk describes an optimized crystal structure of Nb2CrIn. The functional is PBE.

## Properties
Space group   I-42d (122)
Energy relative to the elements   0.682 eV per atom
Calculated density   7.51 Mg/m³
M_tot   0.6976 μB/atom
Total DFT energy (no corrections)   -59.544 eV for the cell shown

Cell lengths 10.5278, 10.5278, 10.5278 Å; angles 158.55, 158.55, 30.52 degrees
Element x y z (fractional)
Nb: 0.1196 0.6250 0.9946
Nb: 0.3750 0.3696 0.4946
Nb: 0.6304 0.1250 0.0054
Nb: 0.8750 0.8804 0.5054
Cr: 0.0000 0.0000 0.0000
Cr: 0.7500 0.2500 0.5000
In: 0.2500 0.7500 0.5000
In: 0.5000 0.5000 0.0000


3.
This record from Alexandria via LeMat-Bulk describes an optimized crystal structure of NbCr2In. The functional is PBE.

## Properties
Space group   I-42d (122)
Energy relative to the elements   0.970 eV per atom
Calculated density   7.53 Mg/m³
M_tot   0.0001 μB/atom
Total DFT energy (no corrections)   -56.350 eV for the cell shown

Cell lengths 5.7035, 5.7035, 5.7035 Å; angles 103.55, 103.55, 122.10 degrees
Element x y z (fractional)
Nb: 0.0000 0.0000 0.0000
Nb: 0.7500 0.2500 0.5000
Cr: 0.0958 0.6250 0.9708
Cr: 0.3750 0.3458 0.4708
Cr: 0.6542 0.1250 0.0292
Cr: 0.8750 0.9042 0.5292
In: 0.2500 0.7500 0.5000
In: 0.5000 0.5000 0.0000


calculated density of number 1 (Nb2CrIn)?
8.33 Mg/m³